LaTmCuTc PBE relaxed; crystal system = cubic; calculated volume = 86 Å³ per cell; calculated formation energy = -3 kJ per mole of atoms; space group = No. 216
1.0
-3.936 2.154 -2.091
-4.563 -1.183 1.511
-2.684 3.274 2.566
Cu Tc La Tm
1 1 1 1
Direct
0.000 0.000 0.000
0.500 0.500 0.500
0.250 0.250 0.250
0.750 0.750 0.750



Cd2Cu2Ag PBE relaxed; crystal system = tetragonal; calculated volume = 175 Å³ per cell; calculated formation energy = 14 kJ per mole of atoms; space group = No. 127
1.0
-6.550 -0.948 -3.834
2.694 -6.501 -2.997
-1.129 -1.532 2.308
Ag Cu Cd
2 4 4
Direct
0.000 0.000 0.000
0.500 0.500 0.000
0.843 0.343 0.500
0.157 0.657 0.500
0.343 0.157 0.500
0.657 0.843 0.500
0.358 0.858 0.000
0.142 0.358 0.000
0.858 0.642 0.000
0.642 0.142 0.000



TbY5Tm PBE relaxed; crystal system = monoclinic; calculated volume = 457 Å³ per cell; calculated formation energy = 18 kJ per mole of atoms; space group = No. 15
1.0
-3.286 -4.021 3.997
5.314 -1.722 -2.736
6.323 5.162 10.390
Tm Tb Y
2 2 10
Direct
0.000 0.000 0.000
0.000 0.000 0.500
0.773 0.000 0.250
0.227 0.000 0.750
0.345 0.673 0.421
0.240 0.000 0.250
0.249 0.517 0.659
0.328 0.673 0.921
0.732 0.483 0.841
0.268 0.517 0.159
0.672 0.327 0.079
0.760 0.000 0.750
0.751 0.483 0.341
0.655 0.327 0.579



Ac2Sn3Pd4 PBE relaxed; crystal system = orthorhombic; calculated volume = 416 Å³ per cell; calculated formation energy = -75 kJ per mole of atoms; space group = No. 64
1.0
-5.553 2.328 -2.332
-2.213 -7.075 -1.794
-0.772 -1.988 8.793
Pd Sn Ac
8 6 4
Direct
0.681 0.750 0.863
0.319 0.250 0.137
0.169 0.986 0.339
0.181 0.750 0.863
0.819 0.250 0.137
0.331 0.486 0.661
0.669 0.514 0.339
0.831 0.014 0.661
0.000 0.000 0.000
0.500 0.500 0.000
0.015 0.750 0.530
0.985 0.250 0.470
0.515 0.750 0.530
0.485 0.250 0.470
0.894 0.416 0.788
0.394 0.084 0.788
0.106 0.584 0.212
0.606 0.916 0.212